No. 1
First-principles (GGA-PBE) data for an optimized crystal structure of BaIr2Rh, as listed in Alexandria via LeMat-Bulk.

M_tot in μB/f.u.: 2.14
ΔH_f (0 K) in meV per atom: 842
Energy in eV/atom: -5.91
Offset from the most stable computed form in eV/atom: 0.8751

CIF file:
```
data_BaIr2Rh
_chemical_formula_sum 'Ba4 Ir8 Rh4'
_cell_length_a 6.775
_cell_length_b 6.775
_cell_length_c 6.775
_cell_angle_alpha 90.00
_cell_angle_beta 90.00
_cell_angle_gamma 90.00
_symmetry_space_group_name_H-M 'F -4 3 m'
_symmetry_Int_Tables_number 216
_symmetry_space_group_name_Hall 'F -4 2 3'
loop_
_atom_site_label
_atom_site_fract_x
_atom_site_fract_y
_atom_site_fract_z
Ba1 0.000 0.000 0.000
Ir1 0.000 0.000 0.500
Ir2 0.250 0.250 0.750
Rh1 0.250 0.250 0.250
```

=====

No. 2
First-principles (GGA-PBE) data for an optimized crystal structure of ZnIn6Au10, as listed in Alexandria via LeMat-Bulk.

M_tot in μB/f.u.: 0.00
ΔH_f (0 K) in meV per atom: -124
Energy in eV/atom: -3.09

CIF file:
```
data_ZnIn6Au10
_chemical_formula_sum 'Zn2 In12 Au20'
_cell_length_a 7.637
_cell_length_b 13.702
_cell_length_c 6.948
_cell_angle_alpha 90.00
_cell_angle_beta 101.12
_cell_angle_gamma 90.00
_symmetry_space_group_name_H-M 'C 1 2/m 1'
_symmetry_Int_Tables_number 12
loop_
_symmetry_equiv_pos_as_xyz
'x,y,z'
'-x,-y,-z'
'-x,y,-z'
'x,-y,z'
'x+1/2,y+1/2,z'
'-x+1/2,-y+1/2,-z'
'-x+1/2,y+1/2,-z'
'x+1/2,-y+1/2,z'
loop_
_atom_site_label
_atom_site_fract_x
_atom_site_fract_y
_atom_site_fract_z
Zn1 0.000 0.000 0.000
In1 0.118 0.500 0.835
In2 0.189 0.220 0.734
Au1 0.000 0.316 0.000
Au2 0.000 0.379 0.500
Au3 0.127 0.106 0.359
Au4 0.223 0.000 0.756
```

=====

Q: The highest energy belongs to which entry?
A: ZnIn6Au10

=====

Q: Which value of ΔH_f (0 K) does entry 1 give?
A: 842 meV per atom

=====

Q: What is the ΔH_f (0 K) in the second record?
A: -124 meV per atom

=====

Q: Which formula does entry 2 have?
A: ZnIn6Au10